Record 1
Crystalline CaAs2RuBr at its relaxed geometry, computed with GGA-PBE.

Cell: 4.738 4.738 5.547 Å, 90.00 90.00 90.00°
Element x y z (fractional)
Ca (0.000, 0.000, 0.000)
As (0.000, 0.500, 0.500)
As (0.500, 0.000, 0.500)
Ru (0.500, 0.500, 0.500)
Br (0.500, 0.500, 0.000)

## Properties
- DOS at the Fermi energy: 3.17 states/eV/f.u.
- Formation energy from raw total energies: -0.24 eV/atom
- Magnetic moment: 0.000 Bohr magnetons per cell
- Energy relative to the lowest polymorph listed for this composition: 0.0000 eV per atom


Record 2
Crystalline Ca4AsSBr2 at its relaxed geometry, computed with GGA-PBE.

Cell: 7.272 4.223 7.397 Å, 90.00 109.23 90.00°
Element x y z (fractional)
Ca (0.236, 0.000, 0.211)
Ca (0.262, 0.500, 0.787)
Ca (0.738, 0.500, 0.213)
Ca (0.764, 0.000, 0.789)
As (0.500, 0.000, 0.000)
S (0.000, 0.500, 0.000)
Br (0.000, 0.000, 0.500)
Br (0.500, 0.500, 0.500)

## Properties
- DOS at the Fermi energy: 3.22 states/eV/f.u.
- Formation energy from raw total energies: -1.64 eV/atom
- Magnetic moment: 0.000 Bohr magnetons per cell


Record 3
Crystalline CaAs2SBr at its relaxed geometry, computed with GGA-PBE.

Cell: 5.676 5.676 5.252 Å, 90.00 90.00 90.00°
Element x y z (fractional)
Ca (0.000, 0.000, 0.000)
As (0.000, 0.500, 0.000)
As (0.500, 0.000, 0.000)
S (0.500, 0.500, 0.500)
Br (0.000, 0.000, 0.500)

## Properties
- DOS at the Fermi energy: 5.87 states/eV/f.u.
- Formation energy from raw total energies: 0.65 eV/atom
- Magnetic moment: 0.614 Bohr magnetons per cell
- Energy relative to the lowest polymorph listed for this composition: 0.6997 eV per atom


Record 4
Crystalline Ca6As2SBr3 at its relaxed geometry, computed with GGA-PBE.

Cell: 7.361 7.361 7.440 Å, 99.46 99.46 120.01°
Element x y z (fractional)
Ca (0.070, 0.402, 0.211)
Ca (0.262, 0.262, 0.790)
Ca (0.402, 0.070, 0.211)
Ca (0.598, 0.930, 0.789)
Ca (0.738, 0.738, 0.210)
Ca (0.930, 0.598, 0.789)
As (0.333, 0.667, 0.000)
As (0.667, 0.333, 0.000)
S (0.000, 0.000, 0.000)
Br (0.163, 0.837, 0.500)
Br (0.500, 0.500, 0.500)
Br (0.837, 0.163, 0.500)

## Properties
- DOS at the Fermi energy: 3.95 states/eV/f.u.
- Formation energy from raw total energies: -1.61 eV/atom
- Magnetic moment: 0.000 Bohr magnetons per cell


Record 5
Crystalline CaAs2SBr at its relaxed geometry, computed with GGA-PBE.

Cell: 4.888 4.888 5.261 Å, 90.00 90.00 90.00°
Element x y z (fractional)
Ca (0.000, 0.000, 0.000)
As (0.000, 0.500, 0.500)
As (0.500, 0.000, 0.500)
S (0.500, 0.500, 0.500)
Br (0.500, 0.500, 0.000)

## Properties
- DOS at the Fermi energy: 3.89 states/eV/f.u.
- Formation energy from raw total energies: -0.05 eV/atom
- Magnetic moment: 0.000 Bohr magnetons per cell
- Energy relative to the lowest polymorph listed for this composition: 0.0000 eV per atom


Record 6
Crystalline CaSbAsBr2 at its relaxed geometry, computed with GGA-PBE.

Cell: 5.306 5.306 6.103 Å, 90.00 90.00 90.00°
Element x y z (fractional)
Ca (0.000, 0.000, 0.000)
Sb (0.500, 0.500, 0.500)
As (0.000, 0.000, 0.500)
Br (0.000, 0.500, 0.000)
Br (0.500, 0.000, 0.000)

## Properties
- DOS at the Fermi energy: 4.91 states/eV/f.u.
- Formation energy from raw total energies: -0.21 eV/atom
- Magnetic moment: 0.663 Bohr magnetons per cell
- Energy relative to the lowest polymorph listed for this composition: 0.1101 eV per atom


Record 7
Crystalline Ca6SbAs2Br3 at its relaxed geometry, computed with GGA-PBE.

Cell: 9.862 9.862 8.777 Å, 102.28 102.28 25.79°
Element x y z (fractional)
Ca (0.013, 0.013, 0.243)
Ca (0.322, 0.322, 0.437)
Ca (0.337, 0.337, 0.883)
Ca (0.663, 0.663, 0.117)
Ca (0.678, 0.678, 0.563)
Ca (0.987, 0.987, 0.757)
Sb (0.500, 0.500, 0.000)
As (0.167, 0.167, 0.340)
As (0.833, 0.833, 0.660)
Br (0.170, 0.170, 0.835)
Br (0.500, 0.500, 0.500)
Br (0.830, 0.830, 0.165)

## Properties
- Formation energy from raw total energies: -1.48 eV/atom
- Magnetic moment: 0.000 Bohr magnetons per cell


Record 8
Crystalline CaSbAsBr2 at its relaxed geometry, computed with GGA-PBE.

Cell: 5.561 5.561 5.443 Å, 90.00 90.00 90.00°
Element x y z (fractional)
Ca (0.000, 0.000, 0.000)
Sb (0.500, 0.500, 0.500)
As (0.500, 0.500, 0.000)
Br (0.000, 0.500, 0.500)
Br (0.500, 0.000, 0.500)

## Properties
- DOS at the Fermi energy: 1.16 states/eV/f.u.
- Formation energy from raw total energies: -0.32 eV/atom
- Magnetic moment: 0.000 Bohr magnetons per cell
- Energy relative to the lowest polymorph listed for this composition: 0.0000 eV per atom


Record 9
Crystalline CaScAs2Br at its relaxed geometry, computed with GGA-PBE.

Cell: 5.324 5.324 5.267 Å, 90.00 90.00 90.00°
Element x y z (fractional)
Ca (0.000, 0.000, 0.000)
Sc (0.500, 0.500, 0.500)
As (0.000, 0.500, 0.000)
As (0.500, 0.000, 0.000)
Br (0.000, 0.000, 0.500)

## Properties
- DOS at the Fermi energy: 2.12 states/eV/f.u.
- Formation energy from raw total energies: 0.05 eV/atom
- Magnetic moment: 0.000 Bohr magnetons per cell
- Energy relative to the lowest polymorph listed for this composition: 0.8082 eV per atom


Record 10
Crystalline CaScAs2Br at its relaxed geometry, computed with GGA-PBE.

Cell: 5.082 5.082 5.444 Å, 90.00 90.00 90.00°
Element x y z (fractional)
Ca (0.000, 0.000, 0.000)
Sc (0.500, 0.500, 0.500)
As (0.000, 0.500, 0.500)
As (0.500, 0.000, 0.500)
Br (0.500, 0.500, 0.000)

## Properties
- DOS at the Fermi energy: 1.71 states/eV/f.u.
- Formation energy from raw total energies: -0.76 eV/atom
- Magnetic moment: 0.000 Bohr magnetons per cell
- Energy relative to the lowest polymorph listed for this composition: 0.0000 eV per atom


Record 11
Crystalline CaAsSe2Br at its relaxed geometry, computed with GGA-PBE.

Cell: 5.358 5.358 5.804 Å, 90.00 90.00 90.00°
Element x y z (fractional)
Ca (0.000, 0.000, 0.000)
As (0.000, 0.000, 0.500)
Se (0.000, 0.500, 0.000)
Se (0.500, 0.000, 0.000)
Br (0.500, 0.500, 0.500)

## Properties
- DOS at the Fermi energy: 8.01 states/eV/f.u.
- Formation energy from raw total energies: 0.36 eV/atom
- Magnetic moment: 0.650 Bohr magnetons per cell
- Energy relative to the lowest polymorph listed for this composition: 0.9140 eV per atom


Record 12
Crystalline CaAsSe2Br at its relaxed geometry, computed with GGA-PBE.

Cell: 5.176 5.176 5.156 Å, 90.00 90.00 90.00°
Element x y z (fractional)
Ca (0.000, 0.000, 0.000)
As (0.500, 0.500, 0.500)
Se (0.000, 0.500, 0.500)
Se (0.500, 0.000, 0.500)
Br (0.500, 0.500, 0.000)

## Properties
- DOS at the Fermi energy: 1.95 states/eV/f.u.
- Formation energy from raw total energies: -0.55 eV/atom
- Magnetic moment: 0.000 Bohr magnetons per cell
- Energy relative to the lowest polymorph listed for this composition: 0.0000 eV per atom